(1)
Computed, not measured: a geometry-optimized ScTl2Cl structure at the PBE level of DFT.

Calculated values
The calculation puts the magnetization at 0.5 μB per formula unit. Its formation energy from raw total energies is -0.70 eV per atom. The calculation puts the energy at -15.7 eV for the cell shown. The calculation puts the density of states at the Fermi level at 2.8 states/eV/cell. Its space group is R3m.

a = 10.507 Å, b = 10.507 Å, c = 10.507 Å
α = 19.36°, β = 19.36°, γ = 19.36°
Element x y z (fractional)
1 Tl 0.013 0.013 0.013
2 Cl 0.473 0.473 0.473
3 Tl 0.259 0.259 0.259
4 Sc 0.755 0.755 0.755

(2)
Computed, not measured: a geometry-optimized HfThRu structure at the PBE level of DFT.

Calculated values
The calculation puts the magnetization at 0.0 μB per formula unit. The value obtained for the energy above the lowest structure with this stoichiometry is 0.114 eV per atom. The calculation puts the energy at -27.4 eV for the cell shown. The calculation puts the density of states at the Fermi level at 4.6 states/eV/cell. Its space group is I4mm.

a = 3.323 Å, b = 3.323 Å, c = 6.566 Å
α = 104.66°, β = 104.66°, γ = 90.00°
Element x y z (fractional)
1 Ru 0.686 0.686 0.372
2 Hf 0.299 0.299 0.598
3 Th 0.015 0.015 0.030

(3)
Computed, not measured: a geometry-optimized Li2AlW structure at the PBE level of DFT.

Calculated values
The calculation puts the magnetization at 0.0 μB per formula unit. The calculation puts the energy at -19.7 eV for the cell shown. The calculation puts the density of states at the Fermi level at 2.0 states/eV/cell. Its space group is Immm.

a = 5.676 Å, b = 5.676 Å, c = 5.676 Å
α = 152.97°, β = 131.10°, γ = 56.76°
Element x y z (fractional)
1 Al 0.250 0.750 0.500
2 Li 0.489 0.489 0.000
3 Li 0.011 0.011 0.000
4 W 0.750 0.250 0.500

(4)
Computed, not measured: a geometry-optimized CaVCoGe2 structure at the PBE level of DFT.

Calculated values
The calculation puts the magnetization at 0.0 μB per formula unit. The calculation puts the energy at -26.7 eV for the cell shown. The calculation puts the density of states at the Fermi level at 5.6 states/eV/cell. Its space group is P4/mmm.

a = 4.759 Å, b = 4.355 Å, c = 4.759 Å
α = 90.00°, β = 90.00°, γ = 90.00°
Element x y z (fractional)
1 Ca 0.500 0.500 0.500
2 Ge 0.000 0.000 0.500
3 Ge 0.500 0.000 0.000
4 V 0.000 0.000 0.000
5 Co 0.000 0.500 0.000

(5)
Computed, not measured: a geometry-optimized KRe2Sb structure at the PBE level of DFT.

Calculated values
The calculation puts the magnetization at 0.0 μB per formula unit. Its formation energy from raw total energies is 1.11 eV per atom. The calculation puts the energy at -25.7 eV for the cell shown. The calculation puts the density of states at the Fermi level at 2.2 states/eV/cell. Its space group is P2/m.

a = 5.339 Å, b = 2.753 Å, c = 6.393 Å
α = 91.12°, β = 90.00°, γ = 90.00°
Element x y z (fractional)
1 Re 0.000 0.350 0.427
2 Sb 0.500 0.250 0.250
3 K 0.500 0.750 0.750
4 Re 0.000 0.150 0.073

(6)
Computed, not measured: a geometry-optimized KNaS2O8 structure at the PBE level of DFT.

Calculated values
The calculation puts the magnetization at 2.0 μB per formula unit. Its formation energy from raw total energies is -1.39 eV per atom. The calculation puts the energy at -67.0 eV for the cell shown. The calculation puts the density of states at the Fermi level at 14.8 states/eV/cell. Its space group is P-3m1.

a = 5.494 Å, b = 5.494 Å, c = 7.917 Å
α = 90.00°, β = 90.00°, γ = 120.00°
Element x y z (fractional)
1 O 0.373 0.185 0.302
2 O 0.667 0.333 0.052
3 O 0.185 0.813 0.698
4 O 0.815 0.187 0.302
5 S 0.667 0.333 0.240
6 O 0.627 0.815 0.698
7 O 0.813 0.627 0.302
8 O 0.333 0.667 0.948
9 Na 0.000 0.000 0.500
10 O 0.187 0.373 0.698
11 K 0.000 0.000 0.000
12 S 0.333 0.667 0.760

(7)
Computed, not measured: a geometry-optimized CuPb2I structure at the PBE level of DFT.

Calculated values
The calculation puts the magnetization at 0.0 μB per formula unit. Its formation energy from raw total energies is 0.20 eV per atom. The value obtained for the energy above the lowest structure with this stoichiometry is 0.000 eV per atom. The calculation puts the energy at -24.5 eV for the cell shown. The calculation puts the density of states at the Fermi level at 0.5 states/eV/cell. Its space group is I-42d.

a = 6.790 Å, b = 6.790 Å, c = 8.144 Å
α = 65.36°, β = 65.36°, γ = 90.00°
Element x y z (fractional)
1 Pb 0.220 0.625 0.250
2 Pb 0.875 0.780 0.750
3 Cu 0.250 0.750 0.500
4 Pb 0.375 0.470 0.750
5 I 0.750 0.250 0.500
6 Cu 0.500 0.500 0.000
7 I 0.000 0.000 0.000
8 Pb 0.530 0.125 0.250

(8)
Computed, not measured: a geometry-optimized Ca2Pr5Dy6 structure at the PBE level of DFT.

Calculated values
The calculation puts the magnetization at 0.0 μB per formula unit. The calculation puts the energy at -107.7 eV for the cell shown. The calculation puts the density of states at the Fermi level at 40.2 states/eV/cell. Its space group is Pbam.

a = 3.598 Å, b = 12.162 Å, c = 20.727 Å
α = 90.00°, β = 90.00°, γ = 90.00°
Element x y z (fractional)
1 Pr 0.500 0.295 0.448
2 Pr 0.500 0.795 0.052
3 Dy 0.500 0.817 0.381
4 Pr 0.500 0.705 0.552
5 Ca 0.000 0.157 0.783
6 Dy 0.000 0.557 0.425
7 Pr 0.500 0.205 0.948
8 Dy 0.000 0.570 0.140
9 Ca 0.000 0.657 0.717
10 Pr 0.500 0.500 0.000
11 Ca 0.000 0.343 0.283
12 Dy 0.000 0.070 0.360
13 Dy 0.500 0.183 0.619
14 Dy 0.500 0.317 0.119
15 Dy 0.000 0.443 0.575
16 Pr 0.500 0.894 0.784
17 Ca 0.000 0.843 0.217
18 Pr 0.500 0.106 0.216
19 Dy 0.000 0.943 0.925
20 Pr 0.500 0.000 0.500
21 Pr 0.500 0.394 0.716
22 Pr 0.500 0.606 0.284
23 Dy 0.500 0.683 0.881
24 Dy 0.000 0.057 0.075
25 Dy 0.000 0.930 0.640
26 Dy 0.000 0.430 0.860

(9)
Computed, not measured: a geometry-optimized PRuRh2 structure at the PBE level of DFT.

Calculated values
The calculation puts the magnetization at 0.0 μB per formula unit. The calculation puts the energy at -55.4 eV for the cell shown. The calculation puts the density of states at the Fermi level at 8.8 states/eV/cell. Its space group is I-42d.

a = 4.805 Å, b = 4.805 Å, c = 7.232 Å
α = 70.60°, β = 70.60°, γ = 90.00°
Element x y z (fractional)
1 Rh 0.875 0.837 0.750
2 Rh 0.163 0.625 0.250
3 P 0.250 0.750 0.500
4 P 0.500 0.500 0.000
5 Rh 0.375 0.413 0.750
6 Rh 0.587 0.125 0.250
7 Ru 0.750 0.250 0.500
8 Ru 0.000 0.000 0.000

(10)
Computed, not measured: a geometry-optimized TaReTc structure at the PBE level of DFT.

Calculated values
The calculation puts the magnetization at 0.0 μB per formula unit. The value obtained for the energy above the lowest structure with this stoichiometry is 0.920 eV per atom. The calculation puts the energy at -32.1 eV for the cell shown. The calculation puts the density of states at the Fermi level at 5.2 states/eV/cell. Its space group is F-43m.

a = 4.305 Å, b = 4.305 Å, c = 4.305 Å
α = 60.00°, β = 60.00°, γ = 60.00°
Element x y z (fractional)
1 Ta 0.750 0.750 0.750
2 Re 0.500 0.500 0.500
3 Tc 0.000 0.000 0.000

(11)
Computed, not measured: a geometry-optimized CdHgH3 structure at the PBE level of DFT.

Calculated values
The calculation puts the magnetization at 0.0 μB per formula unit. The value obtained for the energy above the lowest structure with this stoichiometry is 0.068 eV per atom. The calculation puts the energy at -8.2 eV for the cell shown. The calculation puts the density of states at the Fermi level at 1.4 states/eV/cell. Its space group is Pm-3m.

a = 4.007 Å, b = 4.007 Å, c = 4.007 Å
α = 90.00°, β = 90.00°, γ = 90.00°
Element x y z (fractional)
1 H 0.000 0.000 0.500
2 H 0.000 0.500 0.000
3 Cd 0.500 0.500 0.500
4 H 0.500 0.000 0.000
5 Hg 0.000 0.000 0.000

(12)
Computed, not measured: a geometry-optimized Tb2ZnS structure at the PBE level of DFT.

Calculated values
The calculation puts the magnetization at 0.0 μB per formula unit. Its formation energy from raw total energies is -0.66 eV per atom. The value obtained for the energy above the lowest structure with this stoichiometry is 0.511 eV per atom. The calculation puts the energy at -17.3 eV for the cell shown. The calculation puts the density of states at the Fermi level at 3.4 states/eV/cell. Its space group is R-3m.

a = 3.718 Å, b = 3.718 Å, c = 9.530 Å
α = 78.75°, β = 78.75°, γ = 60.00°
Element x y z (fractional)
1 Tb 0.108 0.108 0.676
2 Zn 0.000 0.000 0.000
3 Tb 0.892 0.892 0.324
4 S 0.500 0.500 0.500

(13)
Computed, not measured: a geometry-optimized Rb2NpPbS4 structure at the PBE level of DFT.

Calculated values
The calculation puts the magnetization at 3.0 μB per formula unit. Its formation energy from raw total energies is -1.13 eV per atom. The calculation puts the energy at -44.1 eV for the cell shown. The calculation puts the density of states at the Fermi level at 6.6 states/eV/cell. Its space group is P2/m.

a = 4.203 Å, b = 7.967 Å, c = 7.401 Å
α = 72.66°, β = 90.00°, γ = 90.00°
Element x y z (fractional)
1 S 0.500 0.309 0.708
2 S 0.000 0.697 0.737
3 Rb 0.000 0.000 0.000
4 Np 0.000 0.500 0.500
5 Pb 0.500 0.500 0.000
6 S 0.500 0.691 0.292
7 Rb 0.500 0.000 0.500
8 S 0.000 0.304 0.263

(14)
Computed, not measured: a geometry-optimized Dy2Mg3Ag structure at the PBE level of DFT.

Calculated values
The calculation puts the magnetization at 0.0 μB per formula unit. The calculation puts the energy at -17.5 eV for the cell shown. The calculation puts the density of states at the Fermi level at 4.4 states/eV/cell. Its space group is Pmm2.

a = 3.309 Å, b = 5.082 Å, c = 8.779 Å
α = 90.00°, β = 90.00°, γ = 90.00°
Element x y z (fractional)
1 Mg 0.500 0.000 0.169
2 Mg 0.500 0.500 0.663
3 Dy 0.000 0.500 0.015
4 Mg 0.500 0.000 0.831
5 Ag 0.500 0.500 0.334
6 Dy 0.000 0.000 0.488

(15)
Computed, not measured: a geometry-optimized KLa2Ag3Te8 structure at the PBE level of DFT.

Calculated values
The calculation puts the magnetization at 0.0 μB per formula unit. Its formation energy from raw total energies is -0.76 eV per atom. The calculation puts the energy at -55.3 eV for the cell shown. The calculation puts the density of states at the Fermi level at 3.7 states/eV/cell. Its space group is P4mm.

a = 4.448 Å, b = 4.448 Å, c = 22.105 Å
α = 90.00°, β = 90.00°, γ = 90.00°
Element x y z (fractional)
1 Te 0.000 0.000 0.493
2 Ag 0.000 0.500 0.587
3 Te 0.000 0.000 0.039
4 K 0.000 0.000 0.742
5 Te 0.500 0.500 0.670
6 Te 0.000 0.500 0.310
7 Te 0.500 0.500 0.150
8 Te 0.000 0.500 0.881
9 Ag 0.500 0.500 0.499
10 La 0.500 0.500 0.998
11 La 0.000 0.000 0.192
12 Te 0.500 0.000 0.310
13 Te 0.500 0.000 0.881
14 Ag 0.500 0.000 0.587

(16)
Computed, not measured: a geometry-optimized La2YTe structure at the PBE level of DFT.

Calculated values
The calculation puts the magnetization at 0.0 μB per formula unit. Its formation energy from raw total energies is -0.46 eV per atom. The calculation puts the energy at -21.3 eV for the cell shown. The calculation puts the density of states at the Fermi level at 6.8 states/eV/cell. Its space group is I4/mmm.

a = 6.353 Å, b = 6.353 Å, c = 6.353 Å
α = 135.31°, β = 135.31°, γ = 65.05°
Element x y z (fractional)
1 La 0.500 0.500 0.000
2 La 0.000 0.000 0.000
3 Te 0.250 0.750 0.500
4 Y 0.750 0.250 0.500

(17)
Computed, not measured: a geometry-optimized In2NiPbCl structure at the PBE level of DFT.

Calculated values
The calculation puts the magnetization at 0.0 μB per formula unit. Its formation energy from raw total energies is -0.28 eV per atom. The calculation puts the energy at -18.2 eV for the cell shown. The calculation puts the density of states at the Fermi level at 1.3 states/eV/cell. Its space group is P4/mmm.

a = 5.038 Å, b = 5.038 Å, c = 5.143 Å
α = 90.00°, β = 90.00°, γ = 90.00°
Element x y z (fractional)
1 In 0.500 0.000 0.000
2 Ni 0.000 0.000 0.000
3 Pb 0.000 0.000 0.500
4 In 0.000 0.500 0.000
5 Cl 0.500 0.500 0.500

(18)
Computed, not measured: a geometry-optimized Sr5NdBi5 structure at the PBE level of DFT.

Calculated values
The calculation puts the magnetization at 0.0 μB per formula unit. The calculation puts the energy at -40.7 eV for the cell shown. The calculation puts the density of states at the Fermi level at 9.1 states/eV/cell. Its space group is C2/m.

a = 6.698 Å, b = 8.561 Å, c = 9.383 Å
α = 106.30°, β = 90.00°, γ = 113.03°
Element x y z (fractional)
1 Bi 0.150 0.301 0.830
2 Bi 0.160 0.319 0.327
3 Bi 0.500 0.000 0.000
4 Sr 0.683 0.367 0.324
5 Bi 0.850 0.699 0.170
6 Sr 0.000 0.000 0.500
7 Nd 0.000 0.000 0.000
8 Sr 0.677 0.355 0.853
9 Sr 0.323 0.645 0.147
10 Bi 0.840 0.681 0.673
11 Sr 0.317 0.633 0.676

(19)
Computed, not measured: a geometry-optimized La2NdEr4Sc structure at the PBE level of DFT.

Calculated values
The calculation puts the magnetization at 0.0 μB per formula unit. The calculation puts the energy at -71.9 eV for the cell shown. The calculation puts the density of states at the Fermi level at 38.0 states/eV/cell. Its space group is P-1.

a = 9.439 Å, b = 9.428 Å, c = 6.775 Å
α = 110.98°, β = 110.98°, γ = 88.31°
Element x y z (fractional)
1 Er 0.749 0.751 0.990
2 Sc 0.500 0.500 0.500
3 Nd 0.000 0.500 0.000
4 La 0.000 0.000 0.500
5 La 0.500 0.500 0.000
6 Nd 0.000 0.500 0.500
7 Er 0.737 0.262 0.500
8 La 0.500 0.000 0.000
9 Er 0.749 0.751 0.510
10 Sc 0.000 0.000 0.000
11 La 0.500 0.000 0.500
12 Er 0.251 0.249 0.490
13 Er 0.763 0.237 0.000
14 Er 0.251 0.249 0.010
15 Er 0.238 0.763 0.000
16 Er 0.263 0.738 0.500

(20)
Computed, not measured: a geometry-optimized Tb6Pr3Sm2Sc structure at the PBE level of DFT.

Calculated values
The calculation puts the magnetization at 0.0 μB per formula unit. The calculation puts the energy at -57.6 eV for the cell shown. The calculation puts the density of states at the Fermi level at 16.2 states/eV/cell. Its space group is C2/m.

a = 6.216 Å, b = 6.216 Å, c = 11.884 Å
α = 95.00°, β = 95.00°, γ = 120.00°
Element x y z (fractional)
1 Pr 0.833 0.167 0.500
2 Sm 0.334 0.666 0.000
3 Pr 0.500 0.500 0.500
4 Tb 0.411 0.081 0.245
5 Pr 0.167 0.833 0.500
6 Tb 0.919 0.589 0.755
7 Tb 0.751 0.751 0.245
8 Tb 0.081 0.411 0.245
9 Tb 0.249 0.249 0.755
10 Sm 0.666 0.334 0.000
11 Tb 0.589 0.919 0.755
12 Sc 0.000 0.000 0.000